1.
This record from Alexandria describes a relaxed YTe3Cl crystal. The functional is GGA-PBEsol.

a b c (Å): 5.274 5.274 5.274
angles (deg): 90.00 90.00 90.00
Fractional coordinates of all 5 atoms:
Y  0.000  0.000  0.000
Te  0.000  0.500  0.500
Te  0.500  0.000  0.500
Te  0.500  0.500  0.000
Cl  0.500  0.500  0.500

## Properties
VASP energy: -3.888 eV/atom
Energy relative to the elements, uncorrected: -0.006 eV per atom



2.
This record from Alexandria describes a relaxed Mg2CuAu2 crystal. The functional is GGA-PBEsol.

a b c (Å): 3.886 3.886 12.310
angles (deg): 90.00 90.00 90.00
Fractional coordinates of all 10 atoms:
Mg  0.000  0.500  0.250
Mg  0.000  0.500  0.750
Mg  0.500  0.000  0.250
Mg  0.500  0.000  0.750
Cu  0.000  0.000  0.000
Cu  0.500  0.500  0.500
Au  0.000  0.000  0.395
Au  0.000  0.000  0.605
Au  0.500  0.500  0.105
Au  0.500  0.500  0.895

## Properties
VASP energy: -3.097 eV/atom
Formation energy from the elements: 0.0264 eV/atom



3.
This record from Alexandria describes a relaxed KBeSb2Te crystal. The functional is GGA-PBEsol.

a b c (Å): 4.948 4.948 5.489
angles (deg): 90.00 90.00 90.00
Fractional coordinates of all 5 atoms:
K  0.000  0.000  0.000
Be  0.500  0.500  0.500
Sb  0.000  0.500  0.500
Sb  0.500  0.000  0.500
Te  0.500  0.500  0.000

## Properties
VASP energy: -3.457 eV/atom
Energy relative to the elements, uncorrected: 0.098 eV per atom



4.
This record from Alexandria describes a relaxed CaH3Ir crystal. The functional is GGA-PBEsol.

a b c (Å): 3.636 3.636 3.636
angles (deg): 90.00 90.00 90.00
Fractional coordinates of all 5 atoms:
Ca  0.000  0.000  0.000
H  0.000  0.500  0.500
H  0.500  0.000  0.500
H  0.500  0.500  0.000
Ir  0.500  0.500  0.500

## Properties
VASP energy: -4.895 eV/atom



5.
This record from Alexandria describes a relaxed CaSnPd3 crystal. The functional is GGA-PBEsol.

a b c (Å): 4.903 4.903 4.903
angles (deg): 90.00 90.00 90.00
Fractional coordinates of all 5 atoms:
Ca  0.000  0.000  0.000
Sn  0.500  0.500  0.500
Pd  0.000  0.500  0.500
Pd  0.500  0.000  0.500
Pd  0.500  0.500  0.000

## Properties
VASP energy: -4.936 eV/atom
Formation energy from the elements: -0.0828 eV/atom



6.
This record from Alexandria describes a relaxed CaLaTaFeO6 crystal. The functional is GGA-PBEsol.

a b c (Å): 5.436 5.480 9.412
angles (deg): 90.00 125.05 90.00
Fractional coordinates of all 20 atoms:
Ca  0.000  0.209  0.000
Ca  0.000  0.791  0.500
La  0.518  0.282  0.503
La  0.518  0.718  0.003
Ta  0.261  0.248  0.753
Ta  0.261  0.752  0.253
Fe  0.760  0.253  0.252
Fe  0.760  0.747  0.752
O  0.009  0.461  0.213
O  0.009  0.539  0.713
O  0.072  0.234  0.500
O  0.072  0.766  0.000
O  0.437  0.260  0.005
O  0.437  0.740  0.505
O  0.514  0.037  0.287
O  0.514  0.963  0.787
O  0.591  0.461  0.790
O  0.591  0.539  0.290
O  0.941  0.029  0.719
O  0.941  0.971  0.219

## Properties
VASP energy: -8.763 eV/atom
Energy relative to the elements, uncorrected: -2.714 eV per atom